{"formula": "Ta2CdRh", "functional": "GGA-PBE", "state": "optimized geometry", "ef_ev_per_atom": 0.022, "final_energy_ev_per_atom": -7.9711, "sg": "Cmmm", "lattice_angstrom": [[0.487, 1.880, -4.720], [-2.671, 3.089, 3.063], [2.424, 1.325, 0.778]], "species": ["Cd", "Rh", "Ta", "Ta"], "frac_coords": [[0.500, 0.500, 0.500], [0.000, 0.000, 0.500], [0.500, 0.000, 0.000], [0.000, 0.500, 0.000]]}

***

{"formula": "TaHg2Rh", "functional": "GGA-PBE", "state": "optimized geometry", "ef_ev_per_atom": 0.325, "e_above_lowest_polymorph_mev_per_atom": 317, "final_energy_ev_per_atom": -4.6274, "sg": "Pmmm", "lattice_angstrom": [[-1.699, 1.230, -2.124], [0.756, -3.972, -2.904], [-4.059, -2.211, 1.967]], "species": ["Rh", "Hg", "Hg", "Ta"], "frac_coords": [[0.500, 0.000, 0.500], [0.500, 0.500, 0.000], [0.000, 0.000, 0.000], [0.000, 0.500, 0.500]]}

***

{"formula": "K2ReCl2F4", "functional": "GGA-PBE", "state": "optimized geometry", "raw_formation_energy_kcal_per_mol_atoms": -47.63, "final_energy_ev_per_atom": -4.9346, "sg": "C2/m", "lattice_angstrom": [[-3.120, 3.908, 1.146], [-1.301, -3.211, 5.734], [3.471, 0.610, 5.698]], "species": ["F", "F", "F", "F", "Cl", "Cl", "Re", "K", "K"], "frac_coords": [[0.259, 0.709, 0.189], [0.741, 0.811, 0.291], [0.259, 0.189, 0.709], [0.741, 0.291, 0.811], [0.328, 0.181, 0.181], [0.672, 0.819, 0.819], [0.500, 0.000, 0.000], [0.838, 0.365, 0.365], [0.162, 0.635, 0.635]]}